# 1
Below is a relaxed Pm12Sm2Er5 crystal, with properties calculated at the GGA-PBE level.

POSCAR file:
```
Pm12Sm2Er5
1.0
-6.767 5.551 7.750
-3.917 -5.473 -8.318
0.885 -4.606 4.072
Pm Sm Er
12 2 5
Cartesian
-0.900 -5.257 2.979 Pm
-2.068 -6.654 -1.295 Pm
-5.334 -3.976 2.445 Pm
-3.741 -5.302 -3.898 Pm
-7.141 -2.513 -0.005 Pm
-5.830 -5.736 -0.982 Pm
-3.969 1.208 4.487 Pm
-6.058 0.775 7.403 Pm
-2.658 -2.014 3.509 Pm
-7.730 2.127 4.799 Pm
-4.465 -0.552 1.060 Pm
-8.899 0.729 0.525 Pm
-5.230 4.290 5.989 Sm
-1.538 1.261 1.761 Sm
-2.648 -3.691 0.332 Er
-4.582 -2.389 -2.290 Er
0.443 -2.303 2.036 Er
-5.217 -2.138 5.795 Er
-7.151 -0.837 3.173 Er
```

Properties
The total moment is 0.00 μB/cell.

=====

# 2
Below is a relaxed Pm4Sm4Er5 crystal, with properties calculated at the GGA-PBE level.

POSCAR file:
```
Pm4Sm4Er5
1.0
-3.475 -1.353 3.416
1.581 -9.214 1.703
4.030 1.561 8.462
Pm Sm Er
4 4 5
Cartesian
0.329 -4.422 9.815 Pm
0.204 -2.924 6.537 Pm
1.807 -4.584 3.766 Pm
1.932 -6.082 7.044 Pm
-1.770 -4.439 3.929 Sm
3.906 -4.566 9.652 Sm
0.053 -9.063 7.696 Sm
2.083 0.057 5.885 Sm
2.056 -7.549 10.334 Er
0.079 -1.457 3.248 Er
0.000 0.000 0.000 Er
-0.041 -7.605 4.433 Er
2.177 -1.401 9.148 Er
```

Properties
The total moment is 0.00 μB/cell.

=====

# 3
Below is a relaxed Pm4Sm8Er3 crystal, with properties calculated at the GGA-PBE level.

POSCAR file:
```
Pm4Sm8Er3
1.0
6.831 -0.111 -0.159
-3.265 8.685 1.227
-3.265 -1.864 8.571
Pm Sm Er
4 8 3
Cartesian
3.415 -0.055 -0.080 Pm
-1.633 4.343 0.614 Pm
0.000 0.000 0.000 Pm
-1.633 -0.932 4.286 Pm
1.740 1.729 2.484 Sm
-3.265 4.929 3.842 Sm
4.995 1.755 2.520 Sm
0.150 5.950 3.013 Sm
0.150 0.761 6.626 Sm
-4.694 4.956 7.119 Sm
-3.265 1.892 5.956 Sm
-1.439 4.981 7.156 Sm
1.783 4.287 0.534 Er
1.783 -0.988 4.206 Er
0.150 3.355 4.820 Er
```

Properties
The total moment is 0.01 μB/cell.

=====

no.,formation enthalpy at 0 K (meV/atom),V (Å³/cell)
1,101,635.11
2,18,424.34
3,356,515.99